# 1
Computed, not measured: a geometry-optimized Nd15Dy4Tm structure at the PBE-GGA level of DFT.

Total magnetic moment, μB/cell: 0.00
VASP energy, eV/atom: -4.71
Formation energy, eV per formula unit: 0.23

abc: 5.158 5.158 25.673
angles: 90.00 90.00 90.00
Space group P4/mmm (No. 123)
Unique sites:
1 Nd 0.000 0.000 0.000 x1
2 Nd 0.000 0.000 0.199 x2
3 Nd 0.000 0.000 0.400 x2
4 Nd 0.000 0.500 0.099 x4
5 Nd 0.000 0.500 0.300 x4
6 Nd 0.000 0.500 0.500 x2
7 Dy 0.500 0.500 0.200 x2
8 Dy 0.500 0.500 0.400 x2
9 Tm 0.500 0.500 0.000 x1

# 2
Computed, not measured: a geometry-optimized YMgTeO6 structure at the PBE-GGA level of DFT.

Total magnetic moment, μB/cell: 2.07
VASP energy, eV/atom: -6.56
Formation energy (no corrections), kJ/mol of formula units: -1745

abc: 5.3048 5.3048 9.6201
angles: 90.00 90.00 120.00
Space group P-31c (No. 163)
Unique sites:
1 Y 0.0000 0.0000 0.0000 x2
2 Mg 0.3333 0.6667 0.2500 x2
3 Te 0.3333 0.6667 0.7500 x2
4 O 0.0227 0.3661 0.6383 x12

# 3
Computed, not measured: a geometry-optimized RuC2Br structure at the PBE-GGA level of DFT.

Total magnetic moment, μB/cell: 0.00
VASP energy, eV/atom: -4.57
Formation energy (no corrections), kJ/mol of formula units: 1074
E above lowest polymorph, eV/atom: 1.335

abc: 5.653 5.653 5.653
angles: 90.00 90.00 90.00
Space group Fm-3m (No. 225)
Unique sites:
1 Ru 0.000 0.000 0.000 x4
2 C 0.250 0.250 0.250 x8
3 Br 0.000 0.000 0.500 x4

# 4
Computed, not measured: a geometry-optimized EuMgZrIn structure at the PBE-GGA level of DFT.

Total magnetic moment, μB/cell: 31.80
VASP energy, eV/atom: -5.86
Formation energy, eV per formula unit: -0.30

abc: 7.431 7.431 7.431
angles: 90.00 90.00 90.00
Space group F-43m (No. 216)
Unique sites:
1 Eu 0.000 0.000 0.000 x4
2 Mg 0.250 0.250 0.750 x4
3 Zr 0.000 0.000 0.500 x4
4 In 0.250 0.250 0.250 x4

# 5
Computed, not measured: a geometry-optimized Pu2GaAu structure at the PBE-GGA level of DFT.

Total magnetic moment, μB/cell: 11.31
VASP energy, eV/atom: -9.08
Formation energy, eV per formula unit: -1.37

abc: 3.868 3.868 6.085
angles: 90.00 90.00 90.00
Space group P4/mmm (No. 123)
Unique sites:
1 Pu 0.000 0.000 0.246 x2
2 Ga 0.500 0.500 0.000 x1
3 Au 0.500 0.500 0.500 x1

# 6
Computed, not measured: a geometry-optimized BaTlTeS3 structure at the PBE-GGA level of DFT.

Total magnetic moment, μB/cell: 0.00
VASP energy, eV/atom: -4.04
Formation energy (no corrections), kJ/mol of formula units: -426

abc: 17.303 5.234 8.357
angles: 90.00 105.97 90.00
Space group C2/m (No. 12)
Unique sites:
1 Ba 0.156 0.000 0.087 x4
2 Tl 0.148 0.000 0.586 x4
3 Te 0.004 0.500 0.206 x4
4 S 0.001 0.000 0.760 x4
5 S 0.155 0.500 0.320 x4
6 S 0.157 0.500 0.857 x4